Record 1
Compound: Ba2Sb2Rh3
Source: Alexandria via LeMat-Bulk
Functional: PBE
Structure: optimized geometry

## Properties
formation energy (no corrections) = -0.54 eV/atom

Unit cell a=4.269 b=6.667 c=7.569 alpha=115.01 beta=90.00 gamma=108.67
Fractional positions:
Rh (0.663, 0.327, 0.431)
Rh (0.500, 0.000, 0.000)
Sb (0.134, 0.269, 0.220)
Sb (0.866, 0.731, 0.780)
Ba (0.869, 0.738, 0.255)
Ba (0.131, 0.262, 0.745)
Rh (0.337, 0.673, 0.569)

Record 2
Compound: Ba3Sb4Rh7
Source: Alexandria via LeMat-Bulk
Functional: PBE
Structure: optimized geometry

## Properties
formation energy (no corrections) = -0.47 eV/atom

Unit cell a=4.459 b=9.056 c=8.725 alpha=78.27 beta=75.20 gamma=75.75
Fractional positions:
Ba (0.705, 0.800, 0.789)
Rh (0.875, 0.330, 0.920)
Sb (0.666, 0.517, 0.152)
Sb (0.896, 0.888, 0.320)
Rh (0.496, 0.169, 0.839)
Ba (0.295, 0.200, 0.211)
Rh (0.692, 0.102, 0.514)
Sb (0.104, 0.112, 0.680)
Ba (0.000, 0.500, 0.500)
Rh (0.000, 0.000, 0.000)
Rh (0.125, 0.670, 0.080)
Rh (0.308, 0.898, 0.486)
Rh (0.504, 0.831, 0.161)
Sb (0.334, 0.483, 0.848)

Record 3
Compound: Ba3Sb4Rh4
Source: Alexandria via LeMat-Bulk
Functional: PBE
Structure: optimized geometry

## Properties
formation energy (no corrections) = -0.69 eV/atom
energy above the lowest structure with this stoichiometry = 0.0 meV per atom

Unit cell a=4.566 b=4.797 c=13.862 alpha=80.05 beta=80.57 gamma=90.16
Fractional positions:
Sb (0.555, 0.553, 0.890)
Ba (0.000, 0.000, 0.000)
Rh (0.103, 0.603, 0.793)
Ba (0.648, 0.147, 0.704)
Sb (0.445, 0.447, 0.110)
Rh (0.897, 0.398, 0.207)
Sb (0.201, 0.701, 0.597)
Ba (0.352, 0.853, 0.296)
Sb (0.799, 0.299, 0.403)
Rh (0.249, 0.247, 0.504)
Rh (0.751, 0.753, 0.496)

Record 4
Compound: BaSi2SbRh
Source: Alexandria via LeMat-Bulk
Functional: PBE
Structure: optimized geometry

## Properties
formation energy (no corrections) = 1.71 eV/atom

Unit cell a=5.596 b=5.077 c=5.596 alpha=90.00 beta=90.00 gamma=90.00
Fractional positions:
Si (0.000, 0.000, 0.500)
Rh (0.000, 0.500, 0.000)
Sb (0.500, 0.500, 0.500)
Si (0.500, 0.000, 0.000)
Ba (0.000, 0.000, 0.000)

Record 5
Compound: Ba2SmSb3Rh4
Source: Alexandria via LeMat-Bulk
Functional: PBE
Structure: optimized geometry

## Properties
formation energy (no corrections) = -0.74 eV/atom

Unit cell a=4.622 b=4.622 c=11.349 alpha=90.00 beta=90.00 gamma=90.00
Fractional positions:
Sb (0.000, 0.000, 0.500)
Sm (0.500, 0.500, 0.500)
Rh (0.000, 0.500, 0.358)
Rh (0.500, 0.000, 0.642)
Rh (0.000, 0.000, 0.000)
Rh (0.500, 0.500, 0.000)
Sb (0.000, 0.500, 0.121)
Ba (0.000, 0.500, 0.762)
Ba (0.500, 0.000, 0.238)
Sb (0.500, 0.000, 0.879)

Record 6
Compound: Ba2SnSb3Rh4
Source: Alexandria via LeMat-Bulk
Functional: PBE
Structure: optimized geometry

## Properties
formation energy (no corrections) = -0.68 eV/atom

Unit cell a=4.661 b=4.661 c=10.868 alpha=90.00 beta=90.00 gamma=90.00
Fractional positions:
Sb (0.000, 0.500, 0.124)
Rh (0.500, 0.000, 0.626)
Rh (0.000, 0.000, 0.000)
Sb (0.500, 0.000, 0.876)
Rh (0.500, 0.500, 0.000)
Rh (0.000, 0.500, 0.374)
Sb (0.000, 0.000, 0.500)
Ba (0.500, 0.000, 0.249)
Ba (0.000, 0.500, 0.751)
Sn (0.500, 0.500, 0.500)

Record 7
Compound: Ba2SnSbRh6
Source: Alexandria via LeMat-Bulk
Functional: PBE
Structure: optimized geometry

## Properties
formation energy (no corrections) = -0.28 eV/atom

Unit cell a=7.030 b=7.029 c=7.032 alpha=46.95 beta=78.78 gamma=97.19
Fractional positions:
Rh (0.213, 0.713, 0.990)
Ba (0.701, 0.251, 0.554)
Rh (0.920, 0.796, 0.783)
Rh (0.752, 0.767, 0.498)
Ba (0.299, 0.749, 0.446)
Rh (0.787, 0.287, 0.010)
Rh (0.248, 0.233, 0.502)
Sn (0.000, 0.000, 0.000)
Sb (0.500, 0.500, 0.000)
Rh (0.080, 0.204, 0.217)

Record 8
Compound: Ba2Sn3SbRh4
Source: Alexandria via LeMat-Bulk
Functional: PBE
Structure: optimized geometry

## Properties
formation energy (no corrections) = -0.62 eV/atom

Unit cell a=4.719 b=4.719 c=10.691 alpha=90.00 beta=90.00 gamma=90.00
Fractional positions:
Rh (0.500, 0.500, 0.000)
Rh (0.000, 0.500, 0.378)
Sn (0.000, 0.500, 0.122)
Ba (0.500, 0.000, 0.246)
Sn (0.500, 0.000, 0.878)
Rh (0.500, 0.000, 0.622)
Rh (0.000, 0.000, 0.000)
Sn (0.000, 0.000, 0.500)
Ba (0.000, 0.500, 0.754)
Sb (0.500, 0.500, 0.500)

Record 9
Compound: BaSnSbRh3
Source: Alexandria via LeMat-Bulk
Functional: PBE
Structure: optimized geometry

## Properties
formation energy (no corrections) = -0.44 eV/atom

Unit cell a=6.094 b=6.078 c=8.650 alpha=110.57 beta=90.00 gamma=90.00
Fractional positions:
Rh (0.750, 0.755, 0.509)
Ba (0.750, 0.253, 0.505)
Sn (0.250, 0.405, 0.811)
Sn (0.750, 0.595, 0.189)
Rh (0.500, 0.749, 0.000)
Rh (0.000, 0.251, 0.000)
Sb (0.750, 0.912, 0.823)
Rh (0.000, 0.749, 0.000)
Sb (0.250, 0.088, 0.177)
Rh (0.500, 0.251, 0.000)
Rh (0.250, 0.245, 0.491)
Ba (0.250, 0.747, 0.495)

Record 10
Compound: Ba2SrSbRh
Source: Alexandria via LeMat-Bulk
Functional: PBE
Structure: optimized geometry

## Properties
formation energy (no corrections) = -0.48 eV/atom

Unit cell a=5.852 b=5.852 c=5.714 alpha=90.00 beta=90.00 gamma=90.00
Fractional positions:
Ba (0.500, 0.000, 0.000)
Ba (0.000, 0.500, 0.000)
Sb (0.500, 0.500, 0.500)
Sr (0.000, 0.000, 0.500)
Rh (0.000, 0.000, 0.000)

Record 11
Compound: BaSrSb2Rh
Source: Alexandria via LeMat-Bulk
Functional: PBE
Structure: optimized geometry

## Properties
formation energy (no corrections) = 0.28 eV/atom

Unit cell a=6.064 b=5.119 c=6.064 alpha=90.00 beta=90.00 gamma=90.00
Fractional positions:
Sr (0.000, 0.000, 0.000)
Sb (0.000, 0.000, 0.500)
Sb (0.500, 0.000, 0.000)
Rh (0.000, 0.500, 0.000)
Ba (0.500, 0.500, 0.500)

Record 12
Compound: Ba2ThSb3Rh4
Source: Alexandria via LeMat-Bulk
Functional: PBE
Structure: optimized geometry

## Properties
formation energy (no corrections) = -0.76 eV/atom

Unit cell a=4.709 b=4.709 c=11.118 alpha=90.00 beta=90.00 gamma=90.00
Fractional positions:
Sb (0.000, 0.500, 0.120)
Rh (0.500, 0.500, 0.000)
Rh (0.500, 0.000, 0.636)
Th (0.500, 0.500, 0.500)
Rh (0.000, 0.000, 0.000)
Ba (0.000, 0.500, 0.768)
Sb (0.500, 0.000, 0.880)
Sb (0.000, 0.000, 0.500)
Ba (0.500, 0.000, 0.232)
Rh (0.000, 0.500, 0.364)

Record 13
Compound: Ba2TlSbRh
Source: Alexandria via LeMat-Bulk
Functional: PBE
Structure: optimized geometry

## Properties
formation energy (no corrections) = -0.44 eV/atom
energy above the lowest structure with this stoichiometry = 0.0 meV per atom

Unit cell a=6.080 b=6.080 c=5.058 alpha=90.00 beta=90.00 gamma=90.00
Fractional positions:
Ba (0.500, 0.000, 0.000)
Rh (0.000, 0.000, 0.000)
Ba (0.000, 0.500, 0.000)
Tl (0.500, 0.500, 0.500)
Sb (0.000, 0.000, 0.500)

Record 14
Compound: Ba2TlSb3Rh4
Source: Alexandria via LeMat-Bulk
Functional: PBE
Structure: optimized geometry

## Properties
formation energy (no corrections) = -0.59 eV/atom

Unit cell a=4.745 b=4.745 c=10.620 alpha=90.00 beta=90.00 gamma=90.00
Fractional positions:
Rh (0.500, 0.000, 0.630)
Sb (0.000, 0.500, 0.120)
Ba (0.000, 0.500, 0.754)
Rh (0.000, 0.000, 0.000)
Rh (0.000, 0.500, 0.370)
Sb (0.500, 0.000, 0.880)
Tl (0.500, 0.500, 0.500)
Sb (0.000, 0.000, 0.500)
Ba (0.500, 0.000, 0.246)
Rh (0.500, 0.500, 0.000)

Record 15
Compound: Ba2TlSbRh
Source: Alexandria via LeMat-Bulk
Functional: PBE
Structure: optimized geometry

## Properties
formation energy (no corrections) = -0.43 eV/atom
energy above the lowest structure with this stoichiometry = 12.7 meV per atom

Unit cell a=5.868 b=5.868 c=5.247 alpha=90.00 beta=90.00 gamma=90.00
Fractional positions:
Tl (0.000, 0.000, 0.500)
Ba (0.500, 0.000, 0.000)
Rh (0.000, 0.000, 0.000)
Ba (0.000, 0.500, 0.000)
Sb (0.500, 0.500, 0.500)

Record 16
Compound: BaTl2SbRh
Source: Alexandria via LeMat-Bulk
Functional: PBE
Structure: optimized geometry

## Properties
formation energy (no corrections) = -0.27 eV/atom

Unit cell a=5.309 b=5.309 c=5.433 alpha=90.00 beta=90.00 gamma=90.00
Fractional positions:
Tl (0.000, 0.500, 0.000)
Tl (0.500, 0.000, 0.000)
Sb (0.000, 0.000, 0.500)
Ba (0.500, 0.500, 0.500)
Rh (0.000, 0.000, 0.000)

Record 17
Compound: BaZn2SbRh
Source: Alexandria via LeMat-Bulk
Functional: PBE
Structure: optimized geometry

## Properties
formation energy (no corrections) = -0.41 eV/atom

Unit cell a=4.950 b=4.950 c=5.174 alpha=90.00 beta=90.00 gamma=90.00
Fractional positions:
Sb (0.000, 0.000, 0.500)
Zn (0.500, 0.000, 0.000)
Rh (0.000, 0.000, 0.000)
Ba (0.500, 0.500, 0.500)
Zn (0.000, 0.500, 0.000)

Record 18
Compound: Ba2ZrSbRh
Source: Alexandria via LeMat-Bulk
Functional: PBE
Structure: optimized geometry

## Properties
formation energy (no corrections) = -0.12 eV/atom

Unit cell a=5.971 b=5.048 c=5.971 alpha=90.00 beta=90.00 gamma=90.00
Fractional positions:
Ba (0.000, 0.000, 0.500)
Rh (0.000, 0.000, 0.000)
Sb (0.500, 0.500, 0.500)
Zr (0.000, 0.500, 0.000)
Ba (0.500, 0.000, 0.000)

Record 19
Compound: BaScRh2
Source: Alexandria via LeMat-Bulk
Functional: PBE
Structure: optimized geometry

## Properties
E_form = -1.2 eV/f.u.
energy above the lowest structure with this stoichiometry = 128.0 meV per atom

Unit cell a=4.418 b=4.418 c=6.927 alpha=71.41 beta=71.41 gamma=59.99
Fractional positions:
Sc (0.449, 0.449, 0.654)
Rh (0.058, 0.058, 0.827)
Ba (0.269, 0.269, 0.193)
Rh (0.725, 0.725, 0.826)

Record 20
Compound: BaScRh2
Source: Alexandria via LeMat-Bulk
Functional: PBE
Structure: optimized geometry

## Properties
E_form = -1.1 eV/f.u.
energy above the lowest structure with this stoichiometry = 152.3 meV per atom

Unit cell a=4.102 b=3.848 c=6.512 alpha=72.80 beta=90.00 gamma=90.00
Fractional positions:
Rh (0.500, 0.030, 0.314)
Ba (0.500, 0.785, 0.806)
Rh (0.000, 0.165, 0.045)
Sc (0.000, 0.520, 0.334)

Record 21
Compound: BaSc2Rh2
Source: Alexandria via LeMat-Bulk
Functional: PBE
Structure: optimized geometry

## Properties
E_form = -2.3 eV/f.u.
energy above the lowest structure with this stoichiometry = 134.4 meV per atom

Unit cell a=8.239 b=8.239 c=3.208 alpha=90.00 beta=90.00 gamma=90.00
Fractional positions:
Sc (0.366, 0.134, 0.500)
Rh (0.353, 0.853, 0.000)
Rh (0.853, 0.647, 0.000)
Ba (0.500, 0.500, 0.000)
Rh (0.647, 0.147, 0.000)
Ba (0.000, 0.000, 0.000)
Sc (0.134, 0.634, 0.500)
Sc (0.634, 0.866, 0.500)
Sc (0.866, 0.366, 0.500)
Rh (0.147, 0.353, 0.000)

Record 22
Compound: BaScRh2
Source: Alexandria via LeMat-Bulk
Functional: PBE
Structure: optimized geometry

## Properties
E_form = -0.2 eV/f.u.
energy above the lowest structure with this stoichiometry = 375.5 meV per atom

Unit cell a=6.055 b=6.055 c=6.055 alpha=148.16 beta=131.00 gamma=59.63
Fractional positions:
Ba (0.250, 0.750, 0.500)
Sc (0.540, 0.540, 0.000)
Rh (0.973, 0.973, 0.000)
Rh (0.737, 0.237, 0.500)

Record 23
Compound: BaScRh2
Source: Alexandria via LeMat-Bulk
Functional: PBE
Structure: optimized geometry

## Properties
E_form = 0.2 eV/f.u.
energy above the lowest structure with this stoichiometry = 456.7 meV per atom

Unit cell a=5.940 b=5.940 c=5.940 alpha=139.99 beta=139.99 gamma=57.86
Fractional positions:
Rh (0.000, 0.000, 0.000)
Sc (0.500, 0.500, 0.000)
Rh (0.250, 0.750, 0.500)
Ba (0.750, 0.250, 0.500)

Record 24
Compound: BaScRh2
Source: Alexandria via LeMat-Bulk
Functional: PBE
Structure: optimized geometry

## Properties
E_form = -1.5 eV/f.u.
energy above the lowest structure with this stoichiometry = 49.6 meV per atom

Unit cell a=4.400 b=4.400 c=6.383 alpha=69.82 beta=69.82 gamma=59.99
Fractional positions:
Rh (0.457, 0.457, 0.630)
Sc (0.750, 0.750, 0.750)
Rh (0.043, 0.043, 0.870)
Ba (0.250, 0.250, 0.250)

Record 25
Compound: BaScRh2
Source: Alexandria via LeMat-Bulk
Functional: PBE
Structure: optimized geometry

## Properties
E_form = -0.5 eV/f.u.
energy above the lowest structure with this stoichiometry = 288.0 meV per atom

Unit cell a=5.010 b=5.010 c=3.431 alpha=90.02 beta=90.02 gamma=90.03
Fractional positions:
Rh (0.500, 0.500, 0.000)
Sc (0.500, 0.000, 0.500)
Ba (0.000, 0.500, 0.500)
Rh (0.000, 0.000, 0.000)

Record 26
Compound: BaScRh2
Source: Alexandria via LeMat-Bulk
Functional: PBE
Structure: optimized geometry

## Properties
E_form = -0.3 eV/f.u.
energy above the lowest structure with this stoichiometry = 337.0 meV per atom

Unit cell a=5.295 b=5.295 c=9.017 alpha=72.93 beta=72.93 gamma=90.00
Fractional positions:
Ba (0.000, 0.000, 0.000)
Rh (0.427, 0.125, 0.250)
Ba (0.750, 0.250, 0.500)
Sc (0.250, 0.750, 0.500)
Rh (0.375, 0.573, 0.750)
Rh (0.875, 0.677, 0.750)
Sc (0.500, 0.500, 0.000)
Rh (0.323, 0.625, 0.250)

Number 1: V 26.1 Å³ per atom. Number 2: V 23.3 Å³ per atom. Number 3: V 26.8 Å³ per atom. Number 4: V 31.8 Å³ per atom. Number 5: V 24.2 Å³ per atom. Number 6: V 23.6 Å³ per atom. Number 7: V 23.2 Å³ per atom. Number 8: V 23.8 Å³ per atom. Number 9: V 25.0 Å³ per atom. Number 10: V 39.1 Å³ per atom. Number 11: V 37.7 Å³ per atom. Number 12: V 24.7 Å³ per atom. Number 13: V 37.4 Å³ per atom. Number 14: V 23.9 Å³ per atom. Number 15: V 36.1 Å³ per atom. Number 16: V 30.6 Å³ per atom. Number 17: V 25.4 Å³ per atom. Number 18: V 36.0 Å³ per atom. Number 19: V 27.2 Å³ per atom. Number 20: V 24.5 Å³ per atom. Number 21: V 21.8 Å³ per atom. Number 22: V 21.9 Å³ per atom. Number 23: V 21.5 Å³ per atom. Number 24: V 24.5 Å³ per atom. Number 25: V 21.5 Å³ per atom. Number 26: V 28.7 Å³ per atom.